The following is a PBE calculation of an optimized crystal structure of TeSe3S, from Alexandria via LeMat-Bulk.

Summary:
Formation energy without anion corrections, eV per atom: 0.966
Density of states at the Fermi level, states/eV/f.u.: 4.50

extended XYZ file:
```
5
Lattice="5.3978 0.0000 0.0000 0.0000 5.3978 0.0000 0.0000 0.0000 5.3978" Properties=species:S:1:pos:R:3 pbc="T T T"
Se 0.0000 0.0000 2.6989
Se 2.6989 0.0000 0.0000
Se 0.0000 2.6989 0.0000
Te 0.0000 0.0000 0.0000
S 2.6989 2.6989 2.6989
```

The following is a PBE calculation of an optimized crystal structure of TeSeS, from Alexandria via LeMat-Bulk.

Summary:
Formation energy without anion corrections, eV per atom: 0.093

extended XYZ file:
```
6
Lattice="-3.8532 -0.5568 -5.2752 -7.4480 -4.7239 8.1089 -4.0606 0.6513 5.6587" Properties=species:S:1:pos:R:3 pbc="T T T"
Te -8.4983 -3.5220 2.4726
Te -6.8635 -1.1074 6.0199
S -11.8306 -3.7918 10.2804
S -3.5312 -0.8376 -1.7879
Se -6.8069 -1.5938 2.2968
Se -8.5549 -3.0356 6.1957
```

The following is a PBE calculation of an optimized crystal structure of TeSeS3, from Alexandria via LeMat-Bulk.

Summary:
Formation energy without anion corrections, eV per atom: 0.053
Density of states at the Fermi level, states/eV/f.u.: 0.00

extended XYZ file:
```
10
Lattice="5.1831 0.0000 -1.5446 -0.0001 8.6194 0.0008 -2.2313 -0.0006 9.5431" Properties=species:S:1:pos:R:3 pbc="T T T"
S 2.8726 3.4700 5.1694
S 1.3981 8.1892 1.1703
S -1.5005 2.5125 8.3480
S 1.6913 8.0887 4.4913
S 0.2140 3.5725 0.4922
S 2.2097 0.5272 2.8031
Se 2.0746 4.3593 1.4729
Se -1.6321 7.3000 7.0178
Te -0.8278 5.1867 5.8363
Te 2.8798 6.4725 0.2914
```

The following is a PBE calculation of an optimized crystal structure of Te2Se2S, from Alexandria via LeMat-Bulk.

Summary:
Formation energy without anion corrections, eV per atom: 0.224
Density of states at the Fermi level, states/eV/f.u.: 2.68

extended XYZ file:
```
10
Lattice="7.9284 0.0000 0.0000 0.0000 7.9284 0.0000 0.0000 0.0000 4.4639" Properties=species:S:1:pos:R:3 pbc="T T T"
Se 5.1360 6.7566 2.2320
Se 1.1718 5.1360 2.2320
Se 2.7924 1.1718 2.2320
Se 6.7566 2.7924 2.2320
Te 1.7937 2.1705 0.0000
Te 2.1705 6.1347 0.0000
Te 5.7579 1.7937 0.0000
Te 6.1347 5.7579 0.0000
S 3.9642 3.9642 0.0000
S 0.0000 0.0000 0.0000
```